Record 1
{
  "formula": "Li2YIn2",
  "functional": "PBE",
  "state": "relaxed",
  "lattice_angstrom": [[-7.359, -1.695, 3.289], [2.156, -7.915, 0.744], [1.156, 0.586, 2.889]],
  "species": ["Y", "Y", "Li", "Li", "Li", "Li", "In", "In", "In", "In"],
  "frac_coords": [[0.000, 0.000, 0.000], [0.500, 0.500, 0.000], [0.383, 0.883, 0.000], [0.883, 0.617, 0.000], [0.617, 0.117, 0.000], [0.117, 0.383, 0.000], [0.178, 0.678, 0.500], [0.678, 0.822, 0.500], [0.822, 0.322, 0.500], [0.322, 0.178, 0.500]],
  "e_above_lowest_polymorph_ev_per_atom": 0.013,
  "spacegroup": "No. 127",
  "dos_ef_per_ev_cell": 5.0
}

***

Record 2
{
  "formula": "Rh2S3",
  "functional": "PBE",
  "state": "relaxed",
  "lattice_angstrom": [[6.336, 0.000, 0.000], [3.479, 5.295, 0.000], [3.479, 1.877, 4.952]],
  "species": ["Rh", "Rh", "Rh", "Rh", "S", "S", "S", "S", "S", "S"],
  "frac_coords": [[0.350, 0.350, 0.350], [0.150, 0.150, 0.150], [0.850, 0.850, 0.850], [0.650, 0.650, 0.650], [0.750, 0.050, 0.450], [0.050, 0.450, 0.750], [0.450, 0.750, 0.050], [0.550, 0.250, 0.950], [0.950, 0.550, 0.250], [0.250, 0.950, 0.550]],
  "raw_formation_energy_ev_per_atom": -0.4667,
  "spacegroup": "No. 167"
}

***

Record 3
{
  "formula": "PIrSe4",
  "functional": "PBE",
  "state": "relaxed",
  "lattice_angstrom": [[0.000, 3.887, 3.887], [3.887, 0.000, 3.887], [3.887, 3.887, 0.000]],
  "species": ["P", "Ir", "Se", "Se", "Se", "Se"],
  "frac_coords": [[0.000, 0.000, 0.000], [0.750, 0.750, 0.750], [0.870, 0.377, 0.377], [0.377, 0.377, 0.870], [0.377, 0.870, 0.377], [0.377, 0.377, 0.377]],
  "raw_formation_energy_ev_per_atom": 1.3607,
  "spacegroup": "No. 216",
  "dos_ef_per_ev_cell": 7.4
}

***

Record 4
{
  "formula": "K4LaCo",
  "functional": "PBE",
  "state": "relaxed",
  "lattice_angstrom": [[0.000, 5.225, 5.225], [5.225, 0.000, 5.225], [5.225, 5.225, 0.000]],
  "species": ["K", "K", "K", "K", "La", "Co"],
  "frac_coords": [[0.374, 0.879, 0.374], [0.879, 0.374, 0.374], [0.374, 0.374, 0.879], [0.374, 0.374, 0.374], [0.750, 0.750, 0.750], [0.000, 0.000, 0.000]],
  "final_energy_ev_per_atom": -1.74,
  "spacegroup": "No. 216",
  "dos_ef_per_ev_cell": 10.2
}